## DyErZnIr (GGA-PBE)

Data for crystalline DyErZnIr at its relaxed geometry.

Summary:
The calculated volume comes out at 83.4 Å³/f.u. The calculation puts the uncorrected energy at -5.476 eV per atom. As for the energy relative to the elements: -62.8 kJ per mole of atoms. The size of the total moment is 0.00 μB/atom.

Lattice parameters (Å, degrees): 6.935 6.935 6.935 90.00 90.00 90.00
Space group F-43m (No. 216)
Inequivalent atoms, fractional coordinates:
Dy1 0.000 0.000 0.000 (multiplicity 4)
Er1 0.000 0.000 0.500 (multiplicity 4)
Zn1 0.250 0.250 0.750 (multiplicity 4)
Ir1 0.250 0.250 0.250 (multiplicity 4)

=====

## RbDyBr4 (GGA-PBE)

Data for crystalline RbDyBr4 at its relaxed geometry.

Summary:
The calculated volume comes out at 266.6 Å³/f.u. The calculation puts the uncorrected energy at -3.904 eV per atom. The size of the total moment is 0.00 μB/atom.

Lattice parameters (Å, degrees): 8.536 18.921 7.122 90.00 112.03 90.00
Space group C2/c (No. 15)
Inequivalent atoms, fractional coordinates:
Rb1 0.000 0.181 0.250 (multiplicity 4)
Dy1 0.000 0.434 0.250 (multiplicity 4)
Br1 0.196 0.454 0.666 (multiplicity 8)
Br2 0.226 0.334 0.234 (multiplicity 8)

=====

- Which of these has the highest uncorrected energy?
  RbDyBr4